Record 1
Here is a relaxed structure of AgHgS from Alexandria via LeMat-Bulk. Energies are from PBE-GGA.

Lattice parameters (Å, degrees): 8.965 4.620 6.958 90.00 91.12 90.00
Element x y z (fractional)
S  0.809  0.000  0.378
S  0.191  0.000  0.622
S  0.809  0.500  0.878
S  0.191  0.500  0.122
Hg  0.382  0.000  0.881
Hg  0.618  0.000  0.119
Hg  0.382  0.500  0.381
Hg  0.618  0.500  0.619
Ag  0.091  0.000  0.202
Ag  0.909  0.000  0.798
Ag  0.091  0.500  0.702
Ag  0.909  0.500  0.298


Record 2
Here is a relaxed structure of AgHgS from Alexandria via LeMat-Bulk. Energies are from PBE-GGA.

Lattice parameters (Å, degrees): 5.464 4.066 6.630 107.86 90.00 90.00
Element x y z (fractional)
Ag  0.994  0.033  0.067
Ag  0.494  0.967  0.933
Hg  0.169  0.367  0.734
Hg  0.669  0.633  0.266
S  0.333  0.160  0.319
S  0.833  0.840  0.681

Summary:
As for the density of states at the Fermi level: 1.2 states/eV/f.u.


Record 3
Here is a relaxed structure of AgHg3S from Alexandria via LeMat-Bulk. Energies are from PBE-GGA.

Lattice parameters (Å, degrees): 5.380 5.380 5.380 90.00 90.00 90.00
Element x y z (fractional)
S  0.500  0.500  0.500
Hg  0.000  0.500  0.000
Hg  0.000  0.000  0.500
Hg  0.500  0.000  0.000
Ag  0.000  0.000  0.000

Summary:
As for the density of states at the Fermi level: 4.6 states/eV/f.u.


Sequential energy relative to the elements, uncorrected output: -22 113 478 meV/atom
Sequential VASP energy output: -29.39 -13.88 -5.49 eV per cell
Sequential total magnetic moment output: 0.00 0.00 1.21 Bohr magnetons per cell